The following is a PBE calculation of an optimized crystal structure of Ba2MgOs, from Alexandria.

```
Ba2MgOs
1.0
4.285 -1.789 0.000
4.285 1.789 0.000
-1.266 0.000 9.434
Ba Mg Os
2 1 1
Direct
0.234 0.234 0.192 Ba
0.766 0.766 0.808 Ba
0.000 0.000 0.500 Mg
0.500 0.500 0.000 Os
```

Results
Magnetization = 0.21 μB per formula unit
Formation enthalpy at 0 K = 281 kJ/mol of formula units